Compound: SmSc3B
Source: Alexandria via LeMat-Bulk
Functional: PBE-GGA
Structure: relaxed

Calculated values
* spin magnetization: 0.01 μB per cell
* V: 22.7 Å³ per atom
* VASP energy: -30.5 eV per cell
* ΔH_f (0 K): -0.1 eV per formula unit

Unit cell a=4.8393 b=4.8393 c=4.8393 alpha=90.00 beta=90.00 gamma=90.00
Atoms (fractional coordinates):
1 Sm 0.0000 0.0000 0.0000
2 Sc 0.0000 0.5000 0.5000
3 Sc 0.5000 0.0000 0.5000
4 Sc 0.5000 0.5000 0.0000
5 B 0.5000 0.5000 0.5000